1.
{"formula": "LiTl2TcCl6", "functional": "GGA-PBE", "state": "optimized geometry", "lattice_angstrom": [[0.0000, 4.9357, 4.9357], [4.9357, 0.0000, 4.9357], [4.9357, 4.9357, 0.0000]], "species": ["Li", "Tl", "Tl", "Tc", "Cl", "Cl", "Cl", "Cl", "Cl", "Cl"], "frac_coords": [[0.0000, 0.0000, 0.0000], [0.2500, 0.2500, 0.2500], [0.7500, 0.7500, 0.7500], [0.5000, 0.5000, 0.5000], [0.2571, 0.2571, 0.7429], [0.2571, 0.7429, 0.2571], [0.2571, 0.7429, 0.7429], [0.7429, 0.2571, 0.2571], [0.7429, 0.2571, 0.7429], [0.7429, 0.7429, 0.2571]], "crystal_system": "cubic", "sg": "Fm-3m, No. 225", "e_tot_ev_per_atom": -3.793}


2.
{"formula": "Li2CdPb", "functional": "GGA-PBE", "state": "optimized geometry", "lattice_angstrom": [[0.0000, 3.4408, 3.4408], [3.4408, 0.0000, 3.4408], [3.4408, 3.4408, 0.0000]], "species": ["Li", "Li", "Cd", "Pb"], "frac_coords": [[0.0000, 0.0000, 0.0000], [0.2500, 0.2500, 0.2500], [0.7500, 0.7500, 0.7500], [0.5000, 0.5000, 0.5000]], "crystal_system": "cubic", "sg": "F-43m, No. 216", "e_tot_ev_per_atom": -2.346}


3.
{"formula": "HfNbBi", "functional": "GGA-PBE", "state": "optimized geometry", "lattice_angstrom": [[0.0000, 3.3777, 3.3777], [3.3777, 0.0000, 3.3777], [3.3777, 3.3777, 0.0000]], "species": ["Hf", "Nb", "Bi"], "frac_coords": [[0.0000, 0.0000, 0.0000], [0.2500, 0.2500, 0.2500], [0.5000, 0.5000, 0.5000]], "crystal_system": "cubic", "sg": "F-43m, No. 216", "e_tot_ev_per_atom": -7.363}